Record 1
A relaxed TaIn2TeI crystal, computed with PBE.

Cell: 6.1947 6.1947 5.3122 Å, 90.00 90.00 90.00°
Closest atoms and distances in Å follow each position.
Element x y z (fractional)
Ta 0.0000 0.0000 0.0000  2 I 2.66
In 0.0000 0.5000 0.5000  2 I 3.10
In 0.5000 0.0000 0.5000  2 I 3.10
Te 0.5000 0.5000 0.0000  8 In 4.08, 4 Ta 4.38
I 0.0000 0.0000 0.5000  2 Ta 2.66

Calculated values
Energy: -3.166 eV/atom
Mass density: 5.4 g/cm3



Record 2
A relaxed Er2Tm8Pu crystal, computed with PBE.

Cell: 9.2105 9.2105 7.7821 Å, 104.73 104.73 30.95°
Closest atoms and distances in Å follow each position.
Element x y z (fractional)
Er 0.2272 0.2272 0.1359  2 Er 3.47, 10 Tm 3.48-3.51
Er 0.7728 0.7728 0.8641  2 Er 3.47, 10 Tm 3.48-3.51
Tm 0.0444 0.0444 0.2301  9 Tm 3.44-3.52, 2 Pu 3.46, 1 Er 3.51
Tm 0.1355 0.1355 0.6792  7 Tm 3.44-3.52, 2 Pu 3.46, 3 Er 3.49-3.50
Tm 0.3202 0.3202 0.5924  1 Pu 3.45, 8 Tm 3.46-3.53, 3 Er 3.49-3.50
Tm 0.4099 0.4099 0.0496  1 Pu 3.45, 8 Tm 3.46-3.52, 3 Er 3.48-3.49
Tm 0.5901 0.5901 0.9504  1 Pu 3.45, 8 Tm 3.46-3.52, 3 Er 3.48-3.49
Tm 0.6798 0.6798 0.4076  1 Pu 3.45, 8 Tm 3.46-3.53, 3 Er 3.49-3.50
Tm 0.8645 0.8645 0.3208  7 Tm 3.44-3.52, 2 Pu 3.46, 3 Er 3.49-3.50
Tm 0.9556 0.9556 0.7699  9 Tm 3.44-3.52, 2 Pu 3.46, 1 Er 3.51
Pu 0.5000 0.5000 0.5000  12 Tm 3.45-3.46

Calculated values
Energy: -5.340 eV/atom
Mass density: 9.8 g/cm3



Record 3
A relaxed SiRh2Se crystal, computed with PBE.

Cell: 4.4414 4.4414 2.9681 Å, 90.00 90.00 90.00°
Closest atoms and distances in Å follow each position.
Element x y z (fractional)
Si 0.0000 0.0000 0.0000  8 Rh 2.67, 2 Si 2.97
Rh 0.0000 0.5000 0.5000  4 Se 2.67, 4 Si 2.67, 2 Rh 2.97
Rh 0.5000 0.0000 0.5000  4 Se 2.67, 4 Si 2.67, 2 Rh 2.97
Se 0.5000 0.5000 0.0000  8 Rh 2.67, 2 Se 2.97

Calculated values
Energy: -6.051 eV/atom
Mass density: 8.9 g/cm3



Record 4
A relaxed Sr2TiBiO6 crystal, computed with PBE.

Cell: 5.8017 5.8017 4.4676 Å, 90.00 90.00 90.00°
Closest atoms and distances in Å follow each position.
Element x y z (fractional)
Sr 0.0000 0.5000 0.0000  4 O 2.59
Sr 0.5000 0.0000 0.0000  4 O 2.59
Ti 0.0000 0.0000 0.5447  5 O 1.77-1.97
Bi 0.5000 0.5000 0.5704  6 O 2.18-2.29
O 0.0000 0.0000 0.1483  1 Ti 1.77
O 0.2336 0.2336 0.6471  1 Ti 1.97
O 0.2336 0.7664 0.6471  1 Ti 1.97
O 0.5000 0.5000 0.0830  2 Bi 2.18-2.29
O 0.7664 0.2336 0.6471  1 Ti 1.97
O 0.7664 0.7664 0.6471  1 Ti 1.97

Calculated values
Energy: -6.891 eV/atom
Mass density: 5.8 g/cm3



Record 5
A relaxed KCd4Ir crystal, computed with PBE.

Cell: 5.7575 5.7575 5.7575 Å, 60.00 60.00 60.00°
Closest atoms and distances in Å follow each position.
Element x y z (fractional)
K 0.0000 0.0000 0.0000  12 Cd 3.38, 4 Ir 3.53
Cd 0.1282 0.6239 0.6239  6 Cd 2.85-2.90
Cd 0.6239 0.1282 0.6239  6 Cd 2.85-2.90
Cd 0.6239 0.6239 0.1282  6 Cd 2.85-2.90
Cd 0.6239 0.6239 0.6239  6 Cd 2.85-2.90
Ir 0.2500 0.2500 0.2500  12 Cd 3.37, 4 K 3.53

Calculated values
Energy: -1.904 eV/atom
Mass density: 8.4 g/cm3



Record 6
A relaxed Ba2InPtF crystal, computed with PBE.

Cell: 6.2008 6.2008 5.0871 Å, 90.00 90.00 90.00°
Closest atoms and distances in Å follow each position.
Element x y z (fractional)
Ba 0.0000 0.5000 0.0000  2 Pt 3.10
Ba 0.5000 0.0000 0.0000  2 Pt 3.10
In 0.0000 0.0000 0.5000  2 Pt 2.54
Pt 0.0000 0.0000 0.0000  2 In 2.54
F 0.5000 0.5000 0.5000  8 Ba 4.01, 4 In 4.38

Calculated values
Energy: -3.966 eV/atom
Mass density: 5.1 g/cm3



Record 7
A relaxed UAg3Pb3Se8 crystal, computed with PBE.

Cell: 8.2002 8.2002 8.4521 Å, 119.00 119.00 59.94°
Closest atoms and distances in Å follow each position.
Element x y z (fractional)
U 0.0000 0.0000 0.0000  6 Se 2.75
Ag 0.0000 0.5000 0.0000  6 Se 2.81-2.89
Ag 0.5000 0.0000 0.0000  6 Se 2.81-2.89
Ag 0.5000 0.5000 0.0000  6 Se 2.82-2.88
Pb 0.0000 0.0000 0.5000  6 Se 3.02-3.08
Pb 0.0000 0.5000 0.5000  6 Se 3.02-3.08
Pb 0.5000 0.0000 0.5000  6 Se 3.02-3.08
Se 0.2338 0.2338 0.2234  1 U 2.75, 2 Ag 2.88, 2 Pb 3.02
Se 0.2342 0.7560 0.2239  1 U 2.75, 2 Ag 2.88-2.89, 2 Pb 3.02
Se 0.2440 0.7658 0.7761  1 U 2.75, 2 Ag 2.88-2.89, 2 Pb 3.02
Se 0.2605 0.2605 0.7820  3 Ag 2.81-2.82, 3 Pb 3.08
Se 0.7395 0.7395 0.2180  3 Ag 2.81-2.82, 3 Pb 3.08
Se 0.7560 0.2342 0.2239  1 U 2.75, 2 Ag 2.88-2.89, 2 Pb 3.02
Se 0.7658 0.2440 0.7761  1 U 2.75, 2 Ag 2.88-2.89, 2 Pb 3.02
Se 0.7662 0.7662 0.7766  1 U 2.75, 2 Ag 2.88, 2 Pb 3.02

Calculated values
Energy: -4.391 eV/atom
Mass density: 7.4 g/cm3



Record 8
A relaxed NbGaCl4 crystal, computed with PBE.

Cell: 9.0334 9.0334 5.6496 Å, 103.98 103.98 118.82°
Closest atoms and distances in Å follow each position.
Element x y z (fractional)
Nb 0.0430 0.9570 0.7500  6 Cl 2.44-2.54
Nb 0.9570 0.0430 0.2500  6 Cl 2.44-2.54
Ga 0.3006 0.6994 0.7500  2 Cl 2.66
Ga 0.6994 0.3006 0.2500  2 Cl 2.66
Cl 0.0009 0.6674 0.7922  1 Nb 2.54, 1 Ga 2.66
Cl 0.1401 0.2580 0.7422  2 Nb 2.44-2.51
Cl 0.2580 0.1401 0.2422  2 Nb 2.44-2.51
Cl 0.3326 0.9991 0.7078  1 Nb 2.54, 1 Ga 2.66
Cl 0.6674 0.0009 0.2922  1 Nb 2.54, 1 Ga 2.66
Cl 0.7420 0.8599 0.7578  2 Nb 2.44-2.51
Cl 0.8599 0.7420 0.2578  2 Nb 2.44-2.51
Cl 0.9991 0.3326 0.2078  1 Nb 2.54, 1 Ga 2.66

Calculated values
Energy: -4.442 eV/atom
Mass density: 2.8 g/cm3



Record 9
A relaxed Sr3TbSm2Se6 crystal, computed with PBE.

Cell: 7.3481 7.3481 7.5162 Å, 99.40 99.40 119.94°
Closest atoms and distances in Å follow each position.
Element x y z (fractional)
Sr 0.0000 0.0000 0.0000  6 Se 3.08-3.11
Sr 0.3320 0.6680 0.0000  6 Se 3.08-3.10
Sr 0.6680 0.3320 0.0000  6 Se 3.08-3.10
Tb 0.5000 0.5000 0.5000  6 Se 2.94
Sm 0.1661 0.8339 0.5000  6 Se 2.98
Sm 0.8339 0.1661 0.5000  6 Se 2.98
Se 0.0926 0.4218 0.2649  1 Tb 2.94, 2 Sm 2.98, 3 Sr 3.08-3.10
Se 0.2498 0.2498 0.7362  1 Tb 2.94, 2 Sm 2.98, 3 Sr 3.08-3.11
Se 0.4218 0.0926 0.2649  1 Tb 2.94, 2 Sm 2.98, 3 Sr 3.08-3.10
Se 0.5782 0.9074 0.7351  1 Tb 2.94, 2 Sm 2.98, 3 Sr 3.08-3.10
Se 0.7502 0.7502 0.2638  1 Tb 2.94, 2 Sm 2.98, 3 Sr 3.08-3.11
Se 0.9074 0.5782 0.7351  1 Tb 2.94, 2 Sm 2.98, 3 Sr 3.08-3.10

Calculated values
Energy: -5.240 eV/atom
Mass density: 6.0 g/cm3



Record 10
A relaxed Ca3TlCr crystal, computed with PBE.

Cell: 5.7022 5.7022 5.7022 Å, 90.00 90.00 90.00°
Closest atoms and distances in Å follow each position.
Element x y z (fractional)
Ca 0.0000 0.0000 0.5000  2 Cr 2.85
Ca 0.0000 0.5000 0.0000  2 Cr 2.85
Ca 0.5000 0.0000 0.0000  2 Cr 2.85
Tl 0.5000 0.5000 0.5000  12 Ca 4.03
Cr 0.0000 0.0000 0.0000  6 Ca 2.85

Calculated values
Energy: -3.116 eV/atom
Mass density: 3.4 g/cm3



Record 11
A relaxed CdSbAs2 crystal, computed with PBE.

Cell: 7.1074 7.1074 7.1074 Å, 90.00 90.00 90.00°
Closest atoms and distances in Å follow each position.
Element x y z (fractional)
Cd 0.0000 0.0000 0.0000  8 As 3.08
Cd 0.0000 0.5000 0.5000  8 As 3.08
Cd 0.5000 0.0000 0.5000  8 As 3.08
Cd 0.5000 0.5000 0.0000  8 As 3.08
Sb 0.0000 0.0000 0.5000  8 As 3.08
Sb 0.0000 0.5000 0.0000  8 As 3.08
Sb 0.5000 0.0000 0.0000  8 As 3.08
Sb 0.5000 0.5000 0.5000  8 As 3.08
As 0.2500 0.2500 0.2500  4 Cd 3.08, 4 Sb 3.08
As 0.2500 0.2500 0.7500  4 Cd 3.08, 4 Sb 3.08
As 0.2500 0.7500 0.2500  4 Cd 3.08, 4 Sb 3.08
As 0.2500 0.7500 0.7500  4 Cd 3.08, 4 Sb 3.08
As 0.7500 0.2500 0.2500  4 Cd 3.08, 4 Sb 3.08
As 0.7500 0.2500 0.7500  4 Cd 3.08, 4 Sb 3.08
As 0.7500 0.7500 0.2500  4 Cd 3.08, 4 Sb 3.08
As 0.7500 0.7500 0.7500  4 Cd 3.08, 4 Sb 3.08

Calculated values
Energy: -3.301 eV/atom
Mass density: 7.1 g/cm3



Record 12
A relaxed LaNd2Sm4Th crystal, computed with PBE.

Cell: 6.3177 3.6572 12.0807 Å, 90.00 100.21 90.00°
Closest atoms and distances in Å follow each position.
Element x y z (fractional)
La 0.0000 0.0000 0.0000  4 Nd 3.65, 2 La 3.66, 6 Sm 3.66-3.69
Nd 0.5000 0.0000 0.5000  6 Sm 3.60-3.62, 4 Th 3.65, 2 Nd 3.66
Nd 0.5000 0.5000 0.0000  4 La 3.65, 2 Nd 3.66, 6 Sm 3.69-3.72
Sm 0.2423 0.0000 0.7434  2 Th 3.57, 6 Sm 3.60-3.70, 3 Nd 3.60-3.72, 1 La 3.69
Sm 0.2468 0.5000 0.2526  6 Sm 3.60-3.70, 1 Th 3.61, 3 Nd 3.62-3.69, 2 La 3.66
Sm 0.7532 0.5000 0.7474  6 Sm 3.60-3.70, 1 Th 3.61, 3 Nd 3.62-3.69, 2 La 3.66
Sm 0.7577 0.0000 0.2566  2 Th 3.57, 6 Sm 3.60-3.70, 3 Nd 3.60-3.72, 1 La 3.69
Th 0.0000 0.5000 0.5000  6 Sm 3.57-3.61, 4 Nd 3.65, 2 Th 3.66

Calculated values
Energy: -5.065 eV/atom
Mass density: 7.6 g/cm3